# 1
The following is a DFT calculation (PBE) of an optimized crystal structure of Ba2NaMg2.

Distance to the lowest polymorph of the same formula: 0.52 eV per formula unit
ΔH_f (0 K): 0.105 eV per atom
Crystal system: tetragonal
Density of states at the Fermi level: 1.15 states/eV per atom
Symmetry: I4/mmm

a b c (Å): 4.4367 4.4367 22.6878
angles (deg): 90.00 90.00 90.00
With the nearest neighbours (Å) after each atom.
Element x y z (fractional)
Ba 0.0000 0.0000 0.1146  4 Mg 3.79, 4 Na 4.07
Ba 0.0000 0.0000 0.8854  4 Mg 3.79, 4 Na 4.07
Ba 0.5000 0.5000 0.3854  4 Mg 3.79, 4 Na 4.07
Ba 0.5000 0.5000 0.6146  4 Mg 3.79, 4 Na 4.07
Na 0.0000 0.0000 0.5000  8 Ba 4.07, 4 Na 4.44
Na 0.5000 0.5000 0.0000  8 Ba 4.07, 4 Na 4.44
Mg 0.0000 0.5000 0.2500  4 Mg 3.14
Mg 0.0000 0.5000 0.7500  4 Mg 3.14
Mg 0.5000 0.0000 0.2500  4 Mg 3.14
Mg 0.5000 0.0000 0.7500  4 Mg 3.14

***

# 2
The following is a DFT calculation (PBE) of an optimized crystal structure of Ba6Na2Mg.

ΔH_f (0 K): 0.010 eV per atom
Crystal system: orthorhombic
Density of states at the Fermi level: 1.28 states/eV per atom
Symmetry: Pnnm

a b c (Å): 12.2837 12.2930 6.3726
angles (deg): 90.00 90.00 90.00
With the nearest neighbours (Å) after each atom.
Element x y z (fractional)
Ba 0.0282 0.1900 0.0000  1 Mg 3.83, 3 Na 4.01-4.05
Ba 0.1185 0.6174 0.5000  2 Mg 3.79, 2 Na 4.07, 1 Ba 4.10
Ba 0.1900 0.9706 0.5000  1 Mg 3.83, 3 Na 4.01-4.06
Ba 0.3100 0.4706 0.0000  1 Mg 3.83, 3 Na 4.01-4.06
Ba 0.3815 0.1174 0.0000  2 Mg 3.79, 2 Na 4.07, 1 Ba 4.10
Ba 0.4718 0.6900 0.5000  1 Mg 3.83, 3 Na 4.01-4.05
Ba 0.5282 0.3100 0.5000  1 Mg 3.83, 3 Na 4.01-4.05
Ba 0.6185 0.8826 0.0000  2 Mg 3.79, 2 Na 4.07, 1 Ba 4.10
Ba 0.6900 0.5294 0.0000  1 Mg 3.83, 3 Na 4.01-4.06
Ba 0.8100 0.0294 0.5000  1 Mg 3.83, 3 Na 4.01-4.06
Ba 0.8815 0.3826 0.5000  2 Mg 3.79, 2 Na 4.07, 1 Ba 4.10
Ba 0.9718 0.8100 0.0000  1 Mg 3.83, 3 Na 4.01-4.05
Na 0.2018 0.2966 0.5000  10 Ba 4.01-4.46
Na 0.2982 0.7966 0.0000  10 Ba 4.01-4.46
Na 0.7018 0.2034 0.0000  10 Ba 4.01-4.46
Na 0.7982 0.7034 0.5000  10 Ba 4.01-4.46
Mg 0.0000 0.5000 0.0000  8 Ba 3.79-3.83
Mg 0.5000 0.0000 0.5000  8 Ba 3.79-3.83

***

# 3
The following is a DFT calculation (PBE) of an optimized crystal structure of Ba4NaMg2.

ΔH_f (0 K): 0.047 eV per atom
Crystal system: trigonal
Density of states at the Fermi level: 1.68 states/eV per atom
Symmetry: R-3m

a b c (Å): 10.6982 10.6982 10.6982
angles (deg): 34.33 34.33 34.33
With the nearest neighbours (Å) after each atom.
Element x y z (fractional)
Ba 0.1178 0.1178 0.1178  4 Mg 3.76-3.86, 3 Na 3.93
Ba 0.3705 0.3705 0.3705  4 Mg 3.76-3.95, 1 Na 3.91
Ba 0.6295 0.6295 0.6295  4 Mg 3.76-3.95, 1 Na 3.91
Ba 0.8822 0.8822 0.8822  4 Mg 3.76-3.86, 3 Na 3.93
Na 0.5000 0.5000 0.5000  8 Ba 3.91-3.93, 6 Mg 4.36
Mg 0.2458 0.2458 0.2458  8 Ba 3.76-3.95
Mg 0.7542 0.7542 0.7542  8 Ba 3.76-3.95